a.
# KTaAsO

An optimized crystal structure of KTaAsO (PBE, OQMD).

Calculated values
Total magnetization   1.639 Bohr magnetons per cell
V   67.0 Å³/f.u.
Space-group type   P4/nmm

Lattice parameters (Å, degrees): 3.669 3.669 9.954 90.00 90.00 90.00
Fractional positions:
1 K 0.250 0.750 0.000
2 K 0.750 0.250 0.000
3 Ta 0.250 0.250 0.380
4 Ta 0.750 0.750 0.620
5 As 0.250 0.250 0.747
6 As 0.750 0.750 0.253
7 O 0.250 0.750 0.500
8 O 0.750 0.250 0.500

***

b.
# KTaAsO

An optimized crystal structure of KTaAsO (PBE, OQMD).

Calculated values
Total magnetization   2.003 Bohr magnetons per cell
V   94.5 Å³/f.u.
Space-group type   Pmc2_1

Lattice parameters (Å, degrees): 3.661 6.520 7.915 90.00 90.00 90.00
Fractional positions:
1 K 0.000 0.155 0.000
2 K 0.000 0.845 0.500
3 Ta 0.500 0.331 0.375
4 Ta 0.500 0.669 0.875
5 As 0.500 0.366 0.688
6 As 0.500 0.634 0.188
7 O 0.000 0.221 0.342
8 O 0.000 0.779 0.842

***

Quick ranking, most stable first: b, a.

***

a.
# KTbAsO

An optimized crystal structure of KTbAsO (PBE, OQMD).

Calculated values
Total magnetization   0.007 Bohr magnetons per cell
V   88.7 Å³/f.u.
Space-group type   P4/nmm

Lattice parameters (Å, degrees): 4.041 4.041 10.870 90.00 90.00 90.00
Fractional positions:
1 K 0.250 0.750 0.000
2 K 0.750 0.250 0.000
3 Tb 0.250 0.250 0.403
4 Tb 0.750 0.750 0.597
5 As 0.250 0.250 0.771
6 As 0.750 0.750 0.229
7 O 0.250 0.750 0.500
8 O 0.750 0.250 0.500

***

b.
# KTbAsO

An optimized crystal structure of KTbAsO (PBE, OQMD).

Calculated values
Total magnetization   0.001 Bohr magnetons per cell
V   100.9 Å³/f.u.
Space-group type   Pmc2_1

Lattice parameters (Å, degrees): 4.938 6.824 5.986 90.00 90.00 90.00
Fractional positions:
1 K 0.000 0.126 0.000
2 K 0.000 0.874 0.500
3 Tb 0.500 0.221 0.501
4 Tb 0.500 0.779 0.001
5 As 0.000 0.437 0.454
6 As 0.000 0.563 0.954
7 O 0.500 0.006 0.759
8 O 0.500 0.994 0.259

***

Quick ranking, most stable first: b, a.

***

a.
# KTbAsO

An optimized crystal structure of KTbAsO (PBE, OQMD).

Calculated values
Total magnetization   0.001 Bohr magnetons per cell
V   105.8 Å³/f.u.
Space-group type   Pmc2_1

Lattice parameters (Å, degrees): 3.466 7.843 7.782 90.00 90.00 90.00
Fractional positions:
1 K 0.000 0.048 0.000
2 K 0.000 0.952 0.500
3 Tb 0.500 0.369 0.354
4 Tb 0.500 0.631 0.854
5 As 0.500 0.289 0.718
6 As 0.500 0.711 0.218
7 O 0.000 0.238 0.278
8 O 0.000 0.762 0.778

***

b.
# KTbAsO

An optimized crystal structure of KTbAsO (PBE, OQMD).

Calculated values
Total magnetization   0.000 Bohr magnetons per cell
V   89.0 Å³/f.u.
Space-group type   P4/nmm

Lattice parameters (Å, degrees): 5.865 5.865 5.175 90.00 90.00 90.00
Fractional positions:
1 K 0.250 0.250 0.003
2 K 0.750 0.750 0.997
3 Tb 0.250 0.750 0.500
4 Tb 0.750 0.250 0.500
5 As 0.250 0.250 0.503
6 As 0.750 0.750 0.497
7 O 0.250 0.750 0.000
8 O 0.750 0.250 0.000

***

Quick ranking, most stable first: a, b.